No. 1
VASP calculation (PBE) on crystalline NiAgIr2 at its relaxed geometry.

Summary:
ΔH_f (0 K) = 329 meV per atom

a b c (Å): 2.7006 2.7006 9.2378
angles (deg): 90.00 90.00 118.64
Sites, in units of the cell vectors:
1 Ni 0.0000 0.0000 0.0000
2 Ag 0.0000 0.0000 0.5000
3 Ir 0.5000 0.5000 0.2282
4 Ir 0.5000 0.5000 0.7718

No. 2
VASP calculation (PBE) on crystalline NiAgIr2 at its relaxed geometry.

Summary:
ΔH_f (0 K) = 343 meV per atom

a b c (Å): 2.7195 2.7195 9.2552
angles (deg): 90.00 90.00 119.93
Sites, in units of the cell vectors:
1 Ni 0.0000 0.0000 0.0000
2 Ag 0.5000 0.5000 0.7513
3 Ir 0.0000 0.0000 0.4771
4 Ir 0.5000 0.5000 0.2301

No. 3
VASP calculation (PBE) on crystalline NiAgIr at its relaxed geometry.

Summary:
ΔH_f (0 K) = 91 meV per atom

a b c (Å): 2.7417 2.7417 11.4951
angles (deg): 90.00 90.00 90.00
Sites, in units of the cell vectors:
1 Ni 0.2500 0.2500 0.2313
2 Ni 0.7500 0.7500 0.7687
3 Ag 0.2500 0.2500 0.5986
4 Ag 0.7500 0.7500 0.4014
5 Ir 0.2500 0.2500 0.9182
6 Ir 0.7500 0.7500 0.0818

No. 4
VASP calculation (PBE) on crystalline NiAgIr at its relaxed geometry.

Summary:
ΔH_f (0 K) = 443 meV per atom

a b c (Å): 4.3601 4.3601 2.6945
angles (deg): 90.00 90.00 120.00
Sites, in units of the cell vectors:
1 Ni 0.0000 0.0000 0.0000
2 Ag 0.6667 0.3333 0.5000
3 Ir 0.3333 0.6667 0.0000

No. 5
VASP calculation (PBE) on crystalline NiAgIr2 at its relaxed geometry.

Summary:
ΔH_f (0 K) = 347 meV per atom

a b c (Å): 4.6902 4.6902 4.6902
angles (deg): 131.04 131.04 71.76
Sites, in units of the cell vectors:
1 Ni 0.0000 0.0000 0.0000
2 Ag 0.2500 0.7500 0.5000
3 Ir 0.5000 0.5000 0.0000
4 Ir 0.7500 0.2500 0.5000

No. 6
VASP calculation (PBE) on crystalline NiAgIr2 at its relaxed geometry.

Summary:
ΔH_f (0 K) = 417 meV per atom

a b c (Å): 5.3007 5.3007 5.3007
angles (deg): 149.62 128.47 61.00
Sites, in units of the cell vectors:
1 Ni 0.0000 0.0000 0.0000
2 Ag 0.2509 0.7509 0.5000
3 Ir 0.5230 0.5230 0.0000
4 Ir 0.7661 0.2661 0.5000